! TmZrGaCu PBE optimized geometry; values from VASP
! - crystal system = cubic
! - N(E_F) (states/eV/atom) = 0.91
! - size of the total moment (μB per cell) = 0.630
! - formation enthalpy at 0 K (eV/atom) = -0.3294
! - E_tot (eV/atom) = -5.3651
&SYSTEM
  ibrav = 0, nat = 4, ntyp = 4
/
ATOMIC_SPECIES
Tm 168.93 Tm.upf
Zr 91.22 Zr.upf
Ga 69.72 Ga.upf
Cu 63.55 Cu.upf
ATOMIC_POSITIONS angstrom
Tm 0.000 0.000 0.000
Zr 3.400 3.400 3.400
Ga 5.100 5.100 5.100
Cu 1.700 1.700 1.700
CELL_PARAMETERS angstrom
0.000 3.400 3.400
3.400 0.000 3.400
3.400 3.400 0.000